DFT (PBE+U) results for a relaxed MgNiAg2F6 crystal.

Computed properties:
* uncorrected energy: -4.193 eV per atom
* density: 5.38 g/cm3
* magnetization: 2.1 μB per formula unit

Lattice parameters (Å, degrees): 5.6473 7.9887 5.6470 90.00 90.00 90.00
With the nearest neighbours (Å) after each atom.
Fractional coordinates of all 20 atoms:
Mg 0.2500 0.2500 0.2504  6 F 1.98-1.99
Mg 0.7500 0.7500 0.7496  6 F 1.98-1.99
Ni 0.2500 0.7500 0.2496  6 F 2.01
Ni 0.7500 0.2500 0.7504  6 F 2.01
Ag 0.2500 0.9999 0.7500  12 F 2.82-2.83
Ag 0.2500 0.5001 0.7500  12 F 2.82-2.83
Ag 0.7500 0.0001 0.2500  12 F 2.82-2.83
Ag 0.7500 0.4999 0.2500  12 F 2.82-2.83
F 0.0012 0.2500 0.0022  1 Mg 1.98, 1 Ni 2.01
F 0.0017 0.2500 0.4992  1 Mg 1.98, 1 Ni 2.01
F 0.2500 0.0015 0.2500  1 Mg 1.99, 1 Ni 2.01
F 0.2500 0.4985 0.2500  1 Mg 1.99, 1 Ni 2.01
F 0.4983 0.2500 0.4992  1 Mg 1.98, 1 Ni 2.01
F 0.4988 0.2500 0.0022  1 Mg 1.98, 1 Ni 2.01
F 0.5012 0.7500 0.9978  1 Mg 1.98, 1 Ni 2.01
F 0.5017 0.7500 0.5008  1 Mg 1.98, 1 Ni 2.01
F 0.7500 0.5015 0.7500  1 Mg 1.99, 1 Ni 2.01
F 0.7500 0.9985 0.7500  1 Mg 1.99, 1 Ni 2.01
F 0.9983 0.7500 0.5008  1 Mg 1.98, 1 Ni 2.01
F 0.9988 0.7500 0.9978  1 Mg 1.98, 1 Ni 2.01

DFT (PBE+U) results for a relaxed MgNi2AgF6 crystal.

Computed properties:
* uncorrected energy: -4.168 eV per atom
* density: 4.52 g/cm3
* magnetization: 3.0 μB per formula unit

Lattice parameters (Å, degrees): 5.2573 5.3951 5.6195 72.01 85.51 62.05
With the nearest neighbours (Å) after each atom.
Fractional coordinates of all 10 atoms:
Mg 0.0000 0.0000 0.0000  6 F 1.96-2.09
Ni 0.1542 0.6292 0.5591  4 F 2.07-2.20
Ni 0.6759 0.6365 0.0311  6 F 1.97-2.10
Ag 0.4081 0.1268 0.4488  5 F 2.34-2.60
F 0.3090 0.7532 0.8110  1 Mg 2.03, 2 Ni 2.10
F 0.3493 0.8251 0.2479  1 Mg 2.04, 2 Ni 2.07-2.20
F 0.6802 0.0121 0.8295  1 Mg 1.96, 1 Ni 2.00
F 0.7583 0.2302 0.2208  1 Ni 1.97, 1 Mg 1.98
F 0.9720 0.4023 0.8151  1 Mg 2.04, 2 Ni 2.07
F 0.9748 0.6325 0.2425  2 Ni 2.03-2.07, 1 Mg 2.09

DFT (PBE+U) results for a relaxed MgNiAgF6 crystal.

Computed properties:
* uncorrected energy: -4.257 eV per atom
* density: 4.42 g/cm3
* magnetization: 3.0 μB per formula unit

Lattice parameters (Å, degrees): 5.2917 5.2917 9.4394 90.00 90.00 120.00
With the nearest neighbours (Å) after each atom.
Fractional coordinates of all 18 atoms:
Mg 0.3333 0.6667 0.2500  6 F 2.01
Mg 0.6667 0.3333 0.7500  6 F 2.01
Ni 0.3333 0.6667 0.7500  6 F 2.02
Ni 0.6667 0.3333 0.2500  6 F 2.02
Ag 0.0000 0.0000 0.0000  6 F 2.28
Ag 0.0000 0.0000 0.5000  6 F 2.28
F 0.0024 0.3563 0.1369  1 Mg 2.01, 1 Ni 2.02
F 0.0024 0.6461 0.3631  1 Mg 2.01, 1 Ni 2.02
F 0.3539 0.3563 0.3631  1 Mg 2.01, 1 Ni 2.02
F 0.3539 0.9976 0.1369  1 Mg 2.01, 1 Ni 2.02
F 0.3563 0.0024 0.6369  1 Mg 2.01, 1 Ni 2.02
F 0.3563 0.3539 0.8631  1 Mg 2.01, 1 Ni 2.02
F 0.6437 0.6461 0.1369  1 Mg 2.01, 1 Ni 2.02
F 0.6437 0.9976 0.3631  1 Mg 2.01, 1 Ni 2.02
F 0.6461 0.0024 0.8631  1 Mg 2.01, 1 Ni 2.02
F 0.6461 0.6437 0.6369  1 Mg 2.01, 1 Ni 2.02
F 0.9976 0.3539 0.6369  1 Mg 2.01, 1 Ni 2.02
F 0.9976 0.6437 0.8631  1 Mg 2.01, 1 Ni 2.02